Record 1
{"formula": "NaTl2NiCl5", "functional": "PBE", "state": "relaxed", "cell": [[-1.026, 1.700, -3.656], [-8.378, -4.069, 2.827], [-3.417, 11.375, 6.248]], "species": ["Cl", "Cl", "Cl", "Cl", "Cl", "Cl", "Cl", "Cl", "Cl", "Cl", "Tl", "Tl", "Tl", "Tl", "Ni", "Ni", "Na", "Na"], "frac_coords": [[0.324, 0.648, 0.391], [0.652, 0.304, 0.512], [0.502, 0.004, 0.286], [0.498, 0.996, 0.786], [0.045, 0.091, 0.992], [0.297, 0.594, 0.673], [0.703, 0.406, 0.173], [0.676, 0.352, 0.891], [0.348, 0.696, 0.012], [0.955, 0.909, 0.492], [0.866, 0.732, 0.179], [0.134, 0.268, 0.329], [0.134, 0.268, 0.679], [0.866, 0.732, 0.829], [0.561, 0.121, 0.925], [0.439, 0.879, 0.425], [0.204, 0.409, 0.036], [0.796, 0.591, 0.536]], "crystal_system": "orthorhombic"}

=====

Record 2
{"formula": "Na2ZnNiCl6", "functional": "PBE", "state": "relaxed", "cell": [[-2.737, 2.097, -5.675], [-0.472, -4.126, -5.182], [-6.129, -2.374, -1.807]], "species": ["Ni", "Cl", "Cl", "Cl", "Cl", "Cl", "Cl", "Na", "Na", "Zn"], "frac_coords": [[0.321, 0.321, 0.037], [0.468, 0.673, 0.773], [0.178, 0.978, 0.268], [0.086, 0.468, 0.773], [0.978, 0.576, 0.268], [0.576, 0.178, 0.268], [0.673, 0.086, 0.774], [0.534, 0.534, 0.398], [0.031, 0.031, 0.908], [0.817, 0.817, 0.548]], "crystal_system": "trigonal"}

=====

Record 3
{"formula": "Na2NpCl8", "functional": "PBE", "state": "relaxed", "cell": [[-0.770, 5.895, 2.831], [3.678, -0.476, 6.749], [6.368, 3.960, -1.754]], "species": ["Cl", "Cl", "Cl", "Cl", "Cl", "Cl", "Cl", "Cl", "Na", "Na", "Np"], "frac_coords": [[0.285, 0.556, 0.556], [0.744, 0.948, 0.304], [0.256, 0.052, 0.696], [0.744, 0.304, 0.948], [0.197, 0.149, 0.149], [0.803, 0.851, 0.851], [0.256, 0.696, 0.052], [0.715, 0.444, 0.444], [0.448, 0.310, 0.310], [0.552, 0.690, 0.690], [0.000, 0.000, 0.000]], "de_polymorph_mev_per_atom": 0, "crystal_system": "monoclinic"}

=====

Record 4
{"formula": "NaNpCl2", "functional": "PBE", "state": "relaxed", "cell": [[3.658, 0.000, 0.000], [1.829, 3.168, 0.000], [1.829, 1.056, 9.874]], "species": ["Np", "Na", "Cl", "Cl"], "frac_coords": [[0.500, 0.500, 0.500], [0.000, 0.000, 0.000], [0.898, 0.898, 0.305], [0.102, 0.102, 0.695]], "crystal_system": "trigonal"}

=====

Record 5
{"formula": "NaNpCl14", "functional": "PBE", "state": "relaxed", "cell": [[4.064, -7.142, 0.000], [4.064, 7.142, 0.000], [0.000, 0.000, 9.804]], "species": ["Cl", "Cl", "Cl", "Cl", "Cl", "Cl", "Cl", "Cl", "Cl", "Cl", "Cl", "Cl", "Cl", "Cl", "Na", "Np"], "frac_coords": [[0.443, 0.557, 0.663], [0.901, 0.699, 0.169], [0.504, 0.897, 0.000], [0.717, 0.784, 0.500], [0.901, 0.699, 0.831], [0.770, 0.230, 0.731], [0.301, 0.099, 0.169], [0.103, 0.496, 0.000], [0.443, 0.557, 0.337], [0.301, 0.099, 0.831], [0.758, 0.242, 0.500], [0.770, 0.230, 0.269], [0.216, 0.283, 0.500], [0.024, 0.976, 0.500], [0.680, 0.320, 0.000], [0.169, 0.831, 0.000]], "crystal_system": "orthorhombic"}

=====

Record 6
{"formula": "Na3Np5Cl12", "functional": "PBE", "state": "relaxed", "cell": [[14.573, 0.000, 0.000], [-4.858, 13.740, 0.000], [-4.858, -6.870, 11.899]], "species": ["Np", "Np", "Np", "Np", "Np", "Np", "Np", "Np", "Np", "Np", "Np", "Np", "Np", "Np", "Np", "Np", "Np", "Np", "Np", "Np", "Cl", "Cl", "Cl", "Cl", "Cl", "Cl", "Cl", "Cl", "Cl", "Cl", "Cl", "Cl", "Cl", "Cl", "Cl", "Cl", "Cl", "Cl", "Cl", "Cl", "Cl", "Cl", "Cl", "Cl", "Cl", "Cl", "Cl", "Cl", "Cl", "Cl", "Cl", "Cl", "Cl", "Cl", "Cl", "Cl", "Cl", "Cl", "Cl", "Cl", "Cl", "Cl", "Cl", "Cl", "Cl", "Cl", "Cl", "Cl", "Na", "Na", "Na", "Na", "Na", "Na", "Na", "Na", "Na", "Na", "Na", "Na"], "frac_coords": [[0.000, 0.500, 0.500], [0.250, 0.375, 0.625], [0.750, 0.125, 0.875], [0.000, 0.000, 0.500], [0.375, 0.125, 0.750], [0.250, 0.875, 0.125], [0.750, 0.625, 0.375], [0.125, 0.750, 0.375], [0.625, 0.875, 0.250], [0.375, 0.250, 0.125], [0.500, 0.000, 0.000], [0.000, 0.000, 0.000], [0.000, 0.500, 0.000], [0.625, 0.750, 0.875], [0.500, 0.000, 0.500], [0.875, 0.250, 0.625], [0.500, 0.500, 0.500], [0.125, 0.375, 0.250], [0.500, 0.500, 0.000], [0.875, 0.625, 0.750], [0.328, 0.778, 0.405], [0.077, 0.172, 0.449], [0.551, 0.328, 0.923], [0.222, 0.551, 0.628], [0.128, 0.405, 0.077], [0.778, 0.328, 0.905], [0.449, 0.672, 0.077], [0.278, 0.872, 0.949], [0.872, 0.278, 0.449], [0.778, 0.449, 0.372], [0.949, 0.577, 0.172], [0.172, 0.095, 0.722], [0.372, 0.423, 0.095], [0.828, 0.923, 0.051], [0.077, 0.905, 0.128], [0.722, 0.128, 0.051], [0.372, 0.949, 0.778], [0.628, 0.577, 0.905], [0.172, 0.077, 0.949], [0.828, 0.905, 0.278], [0.051, 0.628, 0.722], [0.595, 0.872, 0.423], [0.628, 0.051, 0.222], [0.872, 0.595, 0.923], [0.923, 0.095, 0.872], [0.672, 0.449, 0.577], [0.949, 0.372, 0.278], [0.328, 0.551, 0.423], [0.905, 0.077, 0.628], [0.423, 0.051, 0.328], [0.095, 0.923, 0.372], [0.051, 0.423, 0.828], [0.128, 0.722, 0.551], [0.405, 0.278, 0.328], [0.278, 0.405, 0.828], [0.551, 0.222, 0.128], [0.405, 0.128, 0.577], [0.577, 0.628, 0.405], [0.923, 0.828, 0.551], [0.722, 0.595, 0.172], [0.222, 0.672, 0.095], [0.577, 0.949, 0.672], [0.595, 0.722, 0.672], [0.423, 0.372, 0.595], [0.672, 0.222, 0.595], [0.095, 0.172, 0.222], [0.905, 0.828, 0.778], [0.449, 0.778, 0.872], [0.875, 0.750, 0.125], [0.875, 0.125, 0.250], [0.750, 0.875, 0.625], [0.250, 0.125, 0.375], [0.750, 0.375, 0.125], [0.625, 0.375, 0.750], [0.625, 0.250, 0.375], [0.125, 0.875, 0.750], [0.375, 0.625, 0.250], [0.250, 0.625, 0.875], [0.125, 0.250, 0.875], [0.375, 0.750, 0.625]], "crystal_system": "cubic"}

=====

Record 7
{"formula": "Na2NpCl8", "functional": "PBE", "state": "relaxed", "cell": [[4.791, 0.000, 0.000], [0.000, 6.151, 1.161], [-2.396, -1.108, 10.267]], "species": ["Na", "Na", "Cl", "Cl", "Cl", "Cl", "Cl", "Cl", "Cl", "Cl", "Np"], "frac_coords": [[0.222, 0.745, 0.444], [0.778, 0.255, 0.556], [0.615, 0.812, 0.230], [0.385, 0.188, 0.770], [0.784, 0.730, 0.567], [0.023, 0.772, 0.047], [0.570, 0.303, 0.139], [0.977, 0.228, 0.953], [0.216, 0.270, 0.433], [0.430, 0.697, 0.861], [0.500, 0.000, 0.000]], "de_polymorph_mev_per_atom": 90, "crystal_system": "monoclinic"}

=====

Record 8
{"formula": "Na3Np2Cl9", "functional": "PBE", "state": "relaxed", "cell": [[-6.736, 3.246, -1.443], [0.382, -7.440, 1.576], [-2.172, 3.893, 18.900]], "species": ["Na", "Na", "Na", "Na", "Na", "Na", "Np", "Np", "Np", "Np", "Cl", "Cl", "Cl", "Cl", "Cl", "Cl", "Cl", "Cl", "Cl", "Cl", "Cl", "Cl", "Cl", "Cl", "Cl", "Cl", "Cl", "Cl"], "frac_coords": [[0.669, 0.669, 0.250], [0.000, 0.669, 0.750], [0.000, 0.331, 0.250], [0.331, 0.331, 0.750], [0.669, 0.000, 0.750], [0.331, 0.000, 0.250], [0.333, 0.667, 0.000], [0.667, 0.333, 0.000], [0.667, 0.333, 0.500], [0.333, 0.667, 0.500], [0.335, 0.335, 0.250], [0.999, 0.618, 0.927], [0.335, 0.000, 0.750], [0.619, 0.001, 0.573], [0.665, 0.000, 0.250], [0.001, 0.382, 0.427], [0.381, 0.999, 0.427], [0.382, 0.381, 0.927], [0.000, 0.665, 0.250], [0.001, 0.382, 0.073], [0.618, 0.619, 0.073], [0.382, 0.381, 0.573], [0.999, 0.618, 0.573], [0.000, 0.335, 0.750], [0.665, 0.665, 0.750], [0.618, 0.619, 0.427], [0.619, 0.001, 0.927], [0.381, 0.999, 0.073]], "crystal_system": "hexagonal"}

=====

Record 9
{"formula": "NaNpCl4", "functional": "PBE", "state": "relaxed", "cell": [[-1.375, -0.087, -6.874], [-4.931, -4.517, 1.408], [-1.671, 7.847, 3.628]], "species": ["Cl", "Cl", "Cl", "Cl", "Cl", "Cl", "Cl", "Cl", "Na", "Na", "Np", "Np"], "frac_coords": [[0.186, 0.903, 0.412], [0.608, 0.806, 0.092], [0.814, 0.097, 0.588], [0.274, 0.492, 0.588], [0.392, 0.194, 0.908], [0.985, 0.286, 0.092], [0.726, 0.508, 0.412], [0.015, 0.714, 0.908], [0.323, 0.573, 0.147], [0.677, 0.427, 0.853], [0.913, 0.163, 0.326], [0.087, 0.837, 0.674]], "crystal_system": "monoclinic"}

=====

Record 10
{"formula": "Na2NpCl6", "functional": "PBE", "state": "relaxed", "cell": [[6.540, 0.000, 0.000], [0.000, 6.540, 0.000], [0.000, 0.000, 12.460]], "species": ["Na", "Na", "Na", "Na", "Np", "Np", "Cl", "Cl", "Cl", "Cl", "Cl", "Cl", "Cl", "Cl", "Cl", "Cl", "Cl", "Cl"], "frac_coords": [[0.500, 0.500, 0.165], [0.000, 0.000, 0.335], [0.000, 0.000, 0.665], [0.500, 0.500, 0.835], [0.500, 0.500, 0.500], [0.000, 0.000, 0.000], [0.808, 0.192, 0.155], [0.808, 0.192, 0.845], [0.308, 0.308, 0.655], [0.692, 0.692, 0.655], [0.308, 0.308, 0.345], [0.784, 0.216, 0.500], [0.716, 0.716, 0.000], [0.284, 0.284, 0.000], [0.192, 0.808, 0.845], [0.216, 0.784, 0.500], [0.692, 0.692, 0.345], [0.192, 0.808, 0.155]], "crystal_system": "tetragonal"}

=====

Record 11
{"formula": "NaNpCl4", "functional": "PBE", "state": "relaxed", "cell": [[7.266, 0.000, -3.696], [-2.024, 7.124, -3.980], [-0.332, -0.398, 8.338]], "species": ["Cl", "Cl", "Cl", "Cl", "Cl", "Cl", "Cl", "Cl", "Na", "Na", "Np", "Np"], "frac_coords": [[0.275, 0.248, 0.997], [0.725, 0.752, 0.003], [0.725, 0.201, 0.450], [0.725, 0.749, 0.450], [0.275, 0.799, 0.550], [0.275, 0.251, 0.550], [0.722, 0.248, 0.997], [0.278, 0.752, 0.003], [0.500, 0.000, 0.500], [0.000, 0.000, 0.500], [0.500, 0.000, 0.000], [0.500, 0.500, 0.000]], "crystal_system": "orthorhombic"}

=====

Record 12
{"formula": "NaNp2Cl6", "functional": "PBE", "state": "relaxed", "cell": [[4.127, 0.000, 0.000], [-2.064, 6.770, -2.294], [0.000, 0.642, 10.281]], "species": ["Cl", "Cl", "Cl", "Cl", "Cl", "Cl", "Np", "Np", "Na"], "frac_coords": [[0.302, 0.604, 0.880], [0.698, 0.396, 0.120], [0.030, 0.059, 0.804], [0.970, 0.941, 0.197], [0.637, 0.275, 0.569], [0.363, 0.725, 0.431], [0.663, 0.327, 0.837], [0.337, 0.673, 0.163], [0.000, 0.000, 0.500]], "crystal_system": "monoclinic"}

=====

Record 13
{"formula": "NaNp2Cl7", "functional": "PBE", "state": "relaxed", "cell": [[0.077, -3.071, 3.799], [4.213, -2.030, 1.416], [3.603, 8.571, 9.998]], "species": ["Cl", "Cl", "Cl", "Cl", "Cl", "Cl", "Cl", "Np", "Np", "Na"], "frac_coords": [[0.421, 0.421, 0.737], [0.579, 0.579, 0.263], [0.137, 0.137, 0.589], [0.282, 0.282, 0.154], [0.000, 0.000, 0.000], [0.863, 0.863, 0.411], [0.718, 0.718, 0.846], [0.931, 0.931, 0.207], [0.069, 0.069, 0.793], [0.500, 0.500, 0.500]], "crystal_system": "trigonal"}

=====

Record 14
{"formula": "Na2Np2Cl2O5", "functional": "PBE", "state": "relaxed", "cell": [[-0.187, 3.743, 1.853], [1.201, -1.728, 3.613], [11.067, 1.001, -5.620]], "species": ["O", "O", "O", "O", "O", "Cl", "Cl", "Np", "Np", "Na", "Na"], "frac_coords": [[0.000, 0.000, 0.000], [0.097, 0.597, 0.194], [0.403, 0.903, 0.806], [0.903, 0.403, 0.806], [0.597, 0.097, 0.194], [0.799, 0.799, 0.597], [0.201, 0.201, 0.403], [0.914, 0.914, 0.828], [0.086, 0.086, 0.172], [0.326, 0.326, 0.651], [0.674, 0.674, 0.349]], "crystal_system": "tetragonal"}

=====

Record 15
{"formula": "NaNpPb2Cl8", "functional": "PBE", "state": "relaxed", "cell": [[-0.574, 4.279, 5.213], [1.232, -4.863, 4.203], [8.529, 1.731, -0.381]], "species": ["Cl", "Cl", "Cl", "Cl", "Cl", "Cl", "Cl", "Cl", "Pb", "Pb", "Np", "Na"], "frac_coords": [[0.156, 0.778, 0.761], [0.669, 0.727, 0.499], [0.161, 0.781, 0.239], [0.844, 0.222, 0.239], [0.839, 0.219, 0.761], [0.323, 0.253, 0.005], [0.331, 0.273, 0.501], [0.677, 0.747, 0.995], [0.502, 0.501, 0.259], [0.498, 0.499, 0.741], [0.000, 0.000, 0.000], [0.000, 0.000, 0.500]], "crystal_system": "triclinic"}

=====

Record 16
{"formula": "NaNpPbCl6", "functional": "PBE", "state": "relaxed", "cell": [[-5.667, -3.553, -2.876], [6.538, -3.193, 0.277], [-2.724, -4.618, 11.074]], "species": ["Cl", "Cl", "Cl", "Cl", "Cl", "Cl", "Cl", "Cl", "Cl", "Cl", "Cl", "Cl", "Na", "Na", "Np", "Np", "Pb", "Pb"], "frac_coords": [[0.333, 0.981, 0.627], [0.667, 0.648, 0.127], [0.019, 0.667, 0.873], [0.648, 0.981, 0.873], [0.352, 0.333, 0.373], [0.981, 0.333, 0.127], [0.019, 0.352, 0.627], [0.648, 0.667, 0.627], [0.352, 0.019, 0.127], [0.981, 0.648, 0.373], [0.667, 0.019, 0.373], [0.333, 0.352, 0.873], [0.000, 0.000, 0.000], [0.000, 0.000, 0.500], [0.667, 0.333, 0.250], [0.333, 0.667, 0.750], [0.333, 0.667, 0.250], [0.667, 0.333, 0.750]], "crystal_system": "trigonal"}

=====

| no. | VASP energy (eV per cell) | formation energy (no corrections) (kJ/mol of atoms) |
| --- | --- | --- |
| 1 | -60.2 | -96.6 |
| 2 | -32.3 | -111.0 |
| 3 | -45.3 | -131.3 |
| 4 | -22.1 | -99.9 |
| 5 | -48.7 | -52.0 |
| 6 | -458.7 | -115.1 |
| 7 | -44.3 | -122.5 |
| 8 | -139.5 | -160.6 |
| 9 | -64.0 | -166.5 |
| 10 | -84.5 | -167.1 |
| 11 | -64.0 | -166.7 |
| 12 | -52.8 | -155.9 |
| 13 | -57.1 | -163.8 |
| 14 | -83.8 | -235.1 |
| 15 | -53.8 | -139.3 |
| 16 | -85.8 | -148.3 |